# 1
Pr3B2Pd9Au | PBE | relaxed

Properties
DFT total energy in eV/cell: -86.67
Size of the total moment in μB per atom: 0.000

Cell: 5.835 5.835 9.474 Å, 90.00 90.00 120.00°
Element x y z (fractional)
Pr  0.000  0.000  0.000
Pr  0.333  0.667  0.619
Pr  0.667  0.333  0.381
B  0.333  0.667  0.143
B  0.667  0.333  0.857
Pd  0.000  0.500  0.000
Pd  0.167  0.335  0.273
Pd  0.167  0.833  0.273
Pd  0.335  0.167  0.727
Pd  0.500  0.000  0.000
Pd  0.500  0.500  0.000
Pd  0.665  0.833  0.273
Pd  0.833  0.167  0.727
Pd  0.833  0.665  0.727
Au  0.000  0.000  0.500

# 2
HgSb2Te | PBE | relaxed

Properties
Energy relative to the lowest polymorph listed for this composition in meV/atom: 176
Formation energy from raw total energies in eV/f.u.: 0.840
Size of the total moment in μB per atom: 0.000

Cell: 3.878 5.022 5.662 Å, 90.00 90.00 90.00°
Element x y z (fractional)
Hg  0.000  0.000  0.000
Sb  0.000  0.500  0.500
Sb  0.500  0.500  0.000
Te  0.500  0.000  0.500

# 3
TePtCl | PBE | relaxed

Properties
Formation energy from raw total energies in eV/f.u.: 0.049
Size of the total moment in μB per atom: 0.000

Cell: 6.272 6.272 6.272 Å, 148.55 148.55 45.08°
Element x y z (fractional)
Te  0.000  0.000  0.000
Pt  0.609  0.609  0.000
Cl  0.296  0.296  0.000

# 4
TaReSe | PBE | relaxed

Properties
Energy relative to the lowest polymorph listed for this composition in meV/atom: 109
Formation energy from raw total energies in eV/f.u.: 0.558
Size of the total moment in μB per atom: 0.000

Cell: 5.700 5.700 5.700 Å, 149.20 149.20 44.11°
Element x y z (fractional)
Ta  0.000  0.000  0.000
Re  0.681  0.681  0.000
Se  0.330  0.330  0.000

# 5
NiH6Pt2 | PBE | relaxed

Properties
DFT total energy in eV/cell: -37.41
Size of the total moment in μB per atom: 0.000

Cell: 4.727 4.727 7.308 Å, 109.19 109.19 34.64°
Element x y z (fractional)
Ni  0.000  0.000  0.000
H  0.026  0.026  0.246
H  0.305  0.305  0.408
H  0.373  0.373  0.935
H  0.627  0.627  0.065
H  0.695  0.695  0.592
H  0.974  0.974  0.754
Pt  0.335  0.335  0.681
Pt  0.665  0.665  0.319

# 6
TiAl5 | PBE | relaxed

Properties
Energy relative to the lowest polymorph listed for this composition in meV/atom: 0
Size of the total moment in μB per atom: 0.000

Cell: 6.561 6.561 3.881 Å, 90.00 90.00 144.71°
Element x y z (fractional)
Ti  0.000  0.000  0.000
Al  0.168  0.832  0.500
Al  0.338  0.662  0.000
Al  0.500  0.500  0.500
Al  0.662  0.338  0.000
Al  0.832  0.168  0.500

# 7
Li2LaP | PBE | relaxed

Properties
DFT total energy in eV/cell: -16.85
Size of the total moment in μB per atom: 0.001

Cell: 5.788 5.788 5.788 Å, 42.54 42.54 42.54°
Element x y z (fractional)
Li  0.000  0.000  0.000
Li  0.288  0.288  0.288
La  0.804  0.804  0.804
P  0.605  0.605  0.605

# 8
Li2Ca2In | PBE | relaxed

Properties
Energy relative to the lowest polymorph listed for this composition in meV/atom: 118
Size of the total moment in μB per atom: 0.000

Cell: 10.232 10.232 10.232 Å, 158.48 158.48 30.62°
Element x y z (fractional)
Li  0.250  0.750  0.500
Li  0.750  0.250  0.500
Ca  0.100  0.100  0.000
Ca  0.900  0.900  0.000
In  0.500  0.500  0.000

# 9
BeCrNi | PBE | relaxed

Properties
Energy relative to the lowest polymorph listed for this composition in meV/atom: 67
Size of the total moment in μB per atom: 0.000

Cell: 2.470 3.857 6.393 Å, 90.00 97.47 90.00°
Element x y z (fractional)
Be  0.000  0.000  0.000
Be  0.096  0.500  0.210
Cr  0.600  0.000  0.332
Cr  0.871  0.500  0.546
Ni  0.379  0.000  0.693
Ni  0.489  0.500  0.924

# 10
ThAsPd4 | PBE | relaxed

Properties
DFT total energy in eV/cell: -36.11
Size of the total moment in μB per atom: 0.000

Cell: 5.400 5.400 5.400 Å, 60.00 60.00 60.00°
Element x y z (fractional)
Th  0.000  0.000  0.000
As  0.750  0.750  0.750
Pd  0.375  0.375  0.375
Pd  0.375  0.375  0.875
Pd  0.375  0.875  0.375
Pd  0.875  0.375  0.375

# 11
TcHg2Se2 | PBE | relaxed

Properties
Energy relative to the lowest polymorph listed for this composition in meV/atom: 457
Formation energy from raw total energies in eV/f.u.: 3.065
Size of the total moment in μB per atom: 0.511

Cell: 9.007 9.007 9.007 Å, 155.85 155.85 34.42°
Element x y z (fractional)
Tc  0.000  0.000  0.000
Hg  0.250  0.750  0.500
Hg  0.750  0.250  0.500
Se  0.426  0.426  0.000
Se  0.574  0.574  0.000

# 12
KNaSn2Pt2 | PBE | relaxed

Properties
DFT total energy in eV/cell: -25.02
Size of the total moment in μB per atom: 0.000

Cell: 4.668 4.668 8.225 Å, 90.00 90.00 120.00°
Element x y z (fractional)
K  0.000  0.000  0.000
Na  0.000  0.000  0.500
Sn  0.333  0.667  0.303
Sn  0.667  0.333  0.697
Pt  0.333  0.667  0.639
Pt  0.667  0.333  0.361

# 13
Pm4Ag5Pd3 | PBE | relaxed

Properties
DFT total energy in eV/cell: -51.88
Size of the total moment in μB per atom: 0.000

Cell: 6.215 6.215 9.586 Å, 102.82 102.82 51.61°
Element x y z (fractional)
Pm  0.009  0.009  0.211
Pm  0.266  0.266  0.617
Pm  0.734  0.734  0.383
Pm  0.991  0.991  0.789
Ag  0.273  0.273  0.948
Ag  0.298  0.298  0.252
Ag  0.500  0.500  0.500
Ag  0.702  0.702  0.748
Ag  0.727  0.727  0.052
Pd  0.000  0.000  0.500
Pd  0.489  0.489  0.856
Pd  0.511  0.511  0.144

# 14
NbSiPtPb2 | PBE | relaxed

Properties
Formation energy from raw total energies in eV/f.u.: 4.900
Size of the total moment in μB per atom: 0.000

Cell: 5.451 5.451 4.918 Å, 90.00 90.00 90.00°
Element x y z (fractional)
Nb  0.000  0.000  0.000
Si  0.500  0.500  0.500
Pt  0.000  0.000  0.500
Pb  0.000  0.500  0.000
Pb  0.500  0.000  0.000

# 15
AlRuSe | PBE | relaxed

Properties
Energy relative to the lowest polymorph listed for this composition in meV/atom: 71
Formation energy from raw total energies in eV/f.u.: -0.231
Size of the total moment in μB per atom: 0.000

Cell: 5.876 5.876 5.876 Å, 150.47 150.47 42.25°
Element x y z (fractional)
Al  0.000  0.000  0.000
Ru  0.639  0.639  0.000
Se  0.285  0.285  0.000

# 16
Tl2InRu | PBE | relaxed

Properties
Energy relative to the lowest polymorph listed for this composition in meV/atom: 314
Size of the total moment in μB per atom: 0.000

Cell: 3.557 4.073 6.074 Å, 90.00 90.00 90.00°
Element x y z (fractional)
Tl  0.000  0.000  0.233
Tl  0.000  0.000  0.767
In  0.500  0.500  0.500
Ru  0.500  0.500  0.000

# 17
NaTb2Er | PBE | relaxed

Properties
Energy relative to the lowest polymorph listed for this composition in meV/atom: 25
Size of the total moment in μB per atom: 0.000

Cell: 12.804 12.804 12.804 Å, 15.69 15.69 15.69°
Element x y z (fractional)
Na  0.000  0.000  0.000
Tb  0.092  0.092  0.092
Tb  0.908  0.908  0.908
Er  0.500  0.500  0.500

# 18
TaIrNF2 | PBE | relaxed

Properties
Energy relative to the lowest polymorph listed for this composition in meV/atom: 857
Formation energy from raw total energies in eV/f.u.: 2.751
Size of the total moment in μB per atom: 0.420

Cell: 4.489 4.489 3.664 Å, 90.00 90.00 90.00°
Element x y z (fractional)
Ta  0.000  0.000  0.000
Ir  0.500  0.500  0.500
N  0.500  0.500  0.000
F  0.000  0.500  0.500
F  0.500  0.000  0.500

# 19
SrBeAg2Sn | PBE | relaxed

Properties
DFT total energy in eV/cell: -13.86
Size of the total moment in μB per atom: 0.000

Cell: 5.387 5.387 4.612 Å, 90.00 90.00 90.00°
Element x y z (fractional)
Sr  0.000  0.000  0.000
Be  0.500  0.500  0.000
Ag  0.000  0.500  0.500
Ag  0.500  0.000  0.500
Sn  0.500  0.500  0.500

# 20
NdPuNiAg | PBE | relaxed

Properties
DFT total energy in eV/cell: -27.76
Size of the total moment in μB per atom: 1.431

Cell: 5.077 5.077 5.077 Å, 60.00 60.00 60.00°
Element x y z (fractional)
Nd  0.000  0.000  0.000
Pu  0.500  0.500  0.500
Ni  0.750  0.750  0.750
Ag  0.250  0.250  0.250

# 21
PmThGa | PBE | relaxed

Properties
Energy relative to the lowest polymorph listed for this composition in meV/atom: 244
Size of the total moment in μB per atom: 0.035

Cell: 8.056 8.056 8.056 Å, 60.00 60.00 60.00°
Element x y z (fractional)
Pm  0.389  0.389  0.389
Pm  0.389  0.389  0.832
Pm  0.389  0.832  0.389
Pm  0.832  0.389  0.389
Th  0.410  0.863  0.863
Th  0.863  0.410  0.863
Th  0.863  0.863  0.410
Th  0.863  0.863  0.863
Ga  0.129  0.129  0.129
Ga  0.129  0.129  0.613
Ga  0.129  0.613  0.129
Ga  0.613  0.129  0.129

# 22
AgB2F8 | PBE | relaxed

Properties
Energy relative to the lowest polymorph listed for this composition in meV/atom: 0
Formation energy from raw total energies in eV/f.u.: -25.700
Size of the total moment in μB per atom: 0.098

Cell: 5.332 5.332 6.152 Å, 102.34 102.34 69.32°
Element x y z (fractional)
Ag  0.000  0.000  0.000
B  0.280  0.280  0.734
B  0.720  0.720  0.266
F  0.107  0.107  0.726
F  0.154  0.534  0.856
F  0.289  0.289  0.517
F  0.466  0.846  0.144
F  0.534  0.154  0.856
F  0.711  0.711  0.483
F  0.846  0.466  0.144
F  0.893  0.893  0.274

# 23
K2NiRh | PBE | relaxed

Properties
Energy relative to the lowest polymorph listed for this composition in meV/atom: 76
Size of the total moment in μB per atom: 0.398

Cell: 9.790 9.790 3.523 Å, 99.27 99.27 20.47°
Element x y z (fractional)
K  0.144  0.144  0.132
K  0.856  0.856  0.868
Ni  0.500  0.500  0.000
Rh  0.000  0.000  0.500

# 24
GaRhS2N | PBE | relaxed

Properties
Energy relative to the lowest polymorph listed for this composition in meV/atom: 0
Formation energy from raw total energies in eV/f.u.: 2.130
Size of the total moment in μB per atom: 0.000

Cell: 4.911 4.911 3.639 Å, 90.00 90.00 90.00°
Element x y z (fractional)
Ga  0.000  0.000  0.000
Rh  0.500  0.500  0.500
S  0.000  0.500  0.500
S  0.500  0.000  0.500
N  0.500  0.500  0.000

# 25
LaCrRe2 | PBE | relaxed

Properties
Energy relative to the lowest polymorph listed for this composition in meV/atom: 397
Size of the total moment in μB per atom: 0.423

Cell: 3.137 4.540 4.964 Å, 90.00 90.00 90.00°
Element x y z (fractional)
La  0.000  0.000  0.000
Cr  0.500  0.500  0.000
Re  0.000  0.500  0.500
Re  0.500  0.000  0.500

# 26
Ba2SbIrN | PBE | relaxed

Properties
Formation energy from raw total energies in eV/f.u.: -3.255
Size of the total moment in μB per atom: 0.000

Cell: 6.161 6.161 3.749 Å, 90.00 90.00 90.00°
Element x y z (fractional)
Ba  0.000  0.500  0.000
Ba  0.500  0.000  0.000
Sb  0.000  0.000  0.500
Ir  0.500  0.500  0.500
N  0.500  0.500  0.000

# 27
Tm6PPb2 | PBE | relaxed

Properties
DFT total energy in eV/cell: -89.24
Size of the total moment in μB per atom: 0.000

Cell: 6.362 8.107 11.619 Å, 90.00 122.83 90.00°
Element x y z (fractional)
Tm  0.093  0.178  0.448
Tm  0.093  0.322  0.948
Tm  0.309  0.687  0.448
Tm  0.309  0.813  0.948
Tm  0.349  0.028  0.234
Tm  0.349  0.472  0.734
Tm  0.651  0.528  0.266
Tm  0.651  0.972  0.766
Tm  0.691  0.187  0.052
Tm  0.691  0.313  0.552
Tm  0.907  0.678  0.052
Tm  0.907  0.822  0.552
P  0.500  0.000  0.500
P  0.500  0.500  0.000
Pb  0.179  0.115  0.753
Pb  0.179  0.385  0.253
Pb  0.821  0.615  0.747
Pb  0.821  0.885  0.247